The following is a PBE calculation of an optimized crystal structure of Cd2Ag2Au, from Alexandria.

Cell: 7.231 7.231 3.896 Å, 90.00 90.00 90.00°
Positions (direct):
Cd1 0.838 0.338 0.500
Cd2 0.662 0.838 0.500
Cd3 0.162 0.662 0.500
Cd4 0.338 0.162 0.500
Ag1 0.639 0.139 0.000
Ag2 0.861 0.639 0.000
Ag3 0.361 0.861 0.000
Ag4 0.139 0.361 0.000
Au1 0.500 0.500 0.000
Au2 0.000 0.000 0.000

Calculated values
Excess energy over the best structure of this formula in the dataset (meV/atom): 106.9
Final energy (eV/atom): -2.1466
Space-group type: P4/mbm (127)
Total magnetization (μB/cell): 0.00